[1]
This record from Alexandria describes a geometry-optimized ErNi2Ir structure. The functional is PBE-GGA.

mass density	11.4	g/cm3
formation energy	0.021	eV per atom

a = 5.2167 Å, b = 6.0951 Å, c = 4.3530 Å
α = 90.00°, β = 90.00°, γ = 90.00°
With the nearest neighbours (Å) after each atom.
Positions (direct):
Er1 0.0000 0.0000 0.0000  2 Ir 2.61, 4 Ni 2.86
Er2 0.5000 0.5000 0.0000  2 Ir 2.61, 4 Ni 2.86
Ni1 0.0000 0.3053 0.5000  1 Ni 2.37, 2 Ir 2.48
Ni2 0.0000 0.6947 0.5000  1 Ni 2.37, 2 Ir 2.48
Ni3 0.5000 0.1947 0.5000  1 Ni 2.37, 2 Ir 2.48
Ni4 0.5000 0.8053 0.5000  1 Ni 2.37, 2 Ir 2.48
Ir1 0.0000 0.5000 0.0000  4 Ni 2.48, 2 Er 2.61
Ir2 0.5000 0.0000 0.0000  4 Ni 2.48, 2 Er 2.61

---

[2]
This record from Alexandria describes a geometry-optimized HoFe10Mo2 structure. The functional is PBE-GGA.

mass density	8.8	g/cm3
formation energy	-0.014	eV per atom

a = 6.4832 Å, b = 6.4832 Å, c = 6.4832 Å
α = 137.27°, β = 98.00°, γ = 97.25°
With the nearest neighbours (Å) after each atom.
Positions (direct):
Ho1 0.0000 0.0000 0.0000  18 Fe 3.00-3.24, 2 Mo 3.06
Fe1 0.0000 0.0000 0.5000  8 Fe 2.36-2.61, 2 Mo 2.60
Fe2 0.0000 0.5000 0.0000  8 Fe 2.36-2.61, 2 Mo 2.60
Fe3 0.2174 0.5000 0.7174  8 Fe 2.46-2.68, 2 Mo 2.70
Fe4 0.2260 0.7260 0.5000  8 Fe 2.44-2.68, 2 Mo 2.62
Fe5 0.3573 0.0000 0.3573  9 Fe 2.43-2.64
Fe6 0.5000 0.0000 0.0000  8 Fe 2.36-2.61, 2 Mo 2.60
Fe7 0.5000 0.5000 0.5000  8 Fe 2.36-2.61, 2 Mo 2.60
Fe8 0.6427 0.0000 0.6427  9 Fe 2.43-2.64
Fe9 0.7740 0.2740 0.5000  8 Fe 2.44-2.68, 2 Mo 2.62
Fe10 0.7826 0.5000 0.2826  8 Fe 2.46-2.68, 2 Mo 2.70
Mo1 0.3570 0.3570 0.0000  1 Mo 2.45, 8 Fe 2.60-2.70
Mo2 0.6430 0.6430 0.0000  1 Mo 2.45, 8 Fe 2.60-2.70

---

[3]
This record from Alexandria describes a geometry-optimized MgTlHg5 structure. The functional is PBE-GGA.

mass density	10.8	g/cm3
formation energy	-0.036	eV per atom

a = 4.6020 Å, b = 4.6020 Å, c = 8.9063 Å
α = 90.00°, β = 90.00°, γ = 90.00°
With the nearest neighbours (Å) after each atom.
Positions (direct):
Mg1 0.0000 0.0000 0.0000  8 Hg 2.97
Tl1 0.0000 0.0000 0.5000  12 Hg 3.25-3.45
Hg1 0.0000 0.5000 0.2108  2 Mg 2.97, 4 Hg 3.25
Hg2 0.0000 0.5000 0.7892  2 Mg 2.97, 4 Hg 3.25
Hg3 0.5000 0.0000 0.2108  2 Mg 2.97, 4 Hg 3.25
Hg4 0.5000 0.0000 0.7892  2 Mg 2.97, 4 Hg 3.25
Hg5 0.5000 0.5000 0.5000  4 Tl 3.25, 8 Hg 3.45

---

What did the first record say?
This record from Alexandria describes a geometry-optimized ErNi2Ir structure. The functional is PBE-GGA.

mass density	11.4	g/cm3
formation energy	0.021	eV per atom

a = 5.2167 Å, b = 6.0951 Å, c = 4.3530 Å
α = 90.00°, β = 90.00°, γ = 90.00°
With the nearest neighbours (Å) after each atom.
Positions (direct):
Er1 0.0000 0.0000 0.0000  2 Ir 2.61, 4 Ni 2.86
Er2 0.5000 0.5000 0.0000  2 Ir 2.61, 4 Ni 2.86
Ni1 0.0000 0.3053 0.5000  1 Ni 2.37, 2 Ir 2.48
Ni2 0.0000 0.6947 0.5000  1 Ni 2.37, 2 Ir 2.48
Ni3 0.5000 0.1947 0.5000  1 Ni 2.37, 2 Ir 2.48
Ni4 0.5000 0.8053 0.5000  1 Ni 2.37, 2 Ir 2.48
Ir1 0.0000 0.5000 0.0000  4 Ni 2.48, 2 Er 2.61
Ir2 0.5000 0.0000 0.0000  4 Ni 2.48, 2 Er 2.61

---

Question: Among the records above, which one has the highest mass density?
Answer: ErNi2Ir